A plane-wave DFT calculation with GGA-PBE was carried out for KCoRu after structural relaxation.

Properties
DOS(E_F) (states/eV per cell): 3.15
E_form (eV/atom): 0.958
Size of the total moment (μB per cell): 0.37
Space group: P-6m2 (187)

Cell: 3.859 3.859 5.591 Å, 90.00 90.00 120.00°
Fractional coordinates of all 3 atoms:
K (0.000, 0.000, 0.000)
Co (0.333, 0.667, 0.500)
Ru (0.667, 0.333, 0.500)